Entry 1:
Compound: HfCuSb2I
Source: the Alexandria database
Functional: PBE
Structure: optimized geometry

a b c (Å): 5.566 5.566 5.579
angles (deg): 90.00 90.00 90.00
Positions (direct):
Hf  0.000  0.000  0.000
Cu  0.500  0.500  0.500
Sb  0.000  0.500  0.000
Sb  0.500  0.000  0.000
I  0.000  0.000  0.500

Results
Uncorrected formation energy: 0.568 eV/atom
Space-group type: No. 123
Total magnetic moment: 0.00 μB per cell

***

Entry 2:
Compound: YHf2HgW
Source: the Alexandria database
Functional: PBE
Structure: optimized geometry

a b c (Å): 5.047 5.047 5.277
angles (deg): 90.00 90.00 90.00
Positions (direct):
Y  0.000  0.000  0.000
Hf  0.000  0.500  0.000
Hf  0.500  0.000  0.000
Hg  0.000  0.000  0.500
W  0.500  0.500  0.500

Results
Space-group type: No. 123
Formation energy: 2.25 eV/atom
Total magnetic moment: 2.54 μB per cell

***

Entry 3:
Compound: Nb2TcAgSb
Source: the Alexandria database
Functional: PBE
Structure: optimized geometry

a b c (Å): 5.105 5.105 4.841
angles (deg): 90.00 90.00 90.00
Positions (direct):
Nb  0.000  0.500  0.000
Nb  0.500  0.000  0.000
Tc  0.000  0.000  0.500
Ag  0.500  0.500  0.500
Sb  0.500  0.500  0.000

Results
Uncorrected formation energy: 1.754 eV/atom
Space-group type: No. 123
Total magnetic moment: 1.40 μB per cell

***

Entry 4:
Compound: TlSbRu
Source: the Alexandria database
Functional: PBE
Structure: optimized geometry

a b c (Å): 3.429 3.429 6.650
angles (deg): 90.00 90.00 120.00
Positions (direct):
Tl  0.000  0.000  0.000
Sb  0.333  0.667  0.574
Ru  0.667  0.333  0.316

Results
Uncorrected formation energy: 0.174 eV/atom
Space-group type: No. 156
Total magnetic moment: 0.00 μB per cell

***

Entry 5:
Compound: ScTa2HgI
Source: the Alexandria database
Functional: PBE
Structure: optimized geometry

a b c (Å): 5.128 5.128 5.324
angles (deg): 90.00 90.00 90.00
Positions (direct):
Sc  0.000  0.000  0.000
Ta  0.000  0.500  0.500
Ta  0.500  0.000  0.500
Hg  0.000  0.000  0.500
I  0.500  0.500  0.000

Results
Uncorrected formation energy: 1.576 eV/atom
Space-group type: No. 123
Total magnetic moment: 0.00 μB per cell

***

Entry 6:
Compound: PrErAlIn
Source: the Alexandria database
Functional: PBE
Structure: optimized geometry

a b c (Å): 3.724 3.724 7.560
angles (deg): 90.00 90.00 90.00
Positions (direct):
Pr  0.000  0.000  0.000
Er  0.000  0.000  0.479
Al  0.500  0.500  0.258
In  0.500  0.500  0.720

Results
Space-group type: No. 99
Formation energy: -0.42 eV/atom
Total magnetic moment: 0.00 μB per cell

***

Entry 7:
Compound: Cr4CoAs
Source: the Alexandria database
Functional: PBE
Structure: optimized geometry

a b c (Å): 4.715 4.715 4.715
angles (deg): 60.00 60.00 60.00
Positions (direct):
Cr  0.125  0.125  0.125
Cr  0.125  0.125  0.626
Cr  0.125  0.626  0.125
Cr  0.626  0.125  0.125
Co  0.500  0.500  0.500
As  0.750  0.750  0.750

Results
Space-group type: No. 216
Formation energy: 0.41 eV/atom
Total magnetic moment: 0.55 μB per cell

***

Entry 8:
Compound: TlPd3Rh
Source: the Alexandria database
Functional: PBE
Structure: optimized geometry

a b c (Å): 4.874 4.874 4.874
angles (deg): 90.00 90.00 90.00
Positions (direct):
Tl  0.000  0.000  0.000
Pd  0.000  0.500  0.500
Pd  0.500  0.000  0.500
Pd  0.500  0.500  0.000
Rh  0.500  0.500  0.500

Results
Space-group type: No. 221
Formation energy: 0.82 eV/atom
Total magnetic moment: 1.44 μB per cell

***

Entry 9:
Compound: CaTb2YBi4
Source: the Alexandria database
Functional: PBE
Structure: optimized geometry

a b c (Å): 7.850 4.486 7.856
angles (deg): 90.00 109.09 90.00
Positions (direct):
Ca  0.000  0.000  0.000
Tb  0.500  0.000  0.500
Tb  0.500  0.500  0.000
Y  0.000  0.500  0.500
Bi  0.252  0.000  0.748
Bi  0.255  0.500  0.255
Bi  0.745  0.500  0.745
Bi  0.748  0.000  0.252

Results
Space-group type: No. 10
Formation energy: -0.82 eV/atom
Total magnetic moment: 0.00 μB per cell

***

Entry 10:
Compound: LiCaOF2
Source: the Alexandria database
Functional: PBE
Structure: optimized geometry

a b c (Å): 4.403 4.403 4.558
angles (deg): 90.00 90.00 90.00
Positions (direct):
Li  0.000  0.000  0.000
Ca  0.500  0.500  0.500
O  0.500  0.500  0.000
F  0.000  0.500  0.500
F  0.500  0.000  0.500

Results
Uncorrected formation energy: -2.277 eV/atom
Space-group type: No. 123
Total magnetic moment: 1.00 μB per cell

***

Entry 11:
Compound: CuIrIO2
Source: the Alexandria database
Functional: PBE
Structure: optimized geometry

a b c (Å): 3.741 3.741 8.466
angles (deg): 90.00 90.00 90.00
Positions (direct):
Cu  0.000  0.000  0.000
Ir  0.500  0.500  0.500
I  0.500  0.500  0.000
O  0.000  0.500  0.500
O  0.500  0.000  0.500

Results
Uncorrected formation energy: -0.203 eV/atom
Space-group type: No. 123
Total magnetic moment: 0.47 μB per cell

***

Entry 12:
Compound: PmHoTm5Th2
Source: the Alexandria database
Functional: PBE
Structure: optimized geometry

a b c (Å): 9.764 9.764 9.764
angles (deg): 126.26 126.26 79.47
Positions (direct):
Pm  0.250  0.250  0.000
Pm  0.750  0.750  0.000
Ho  0.250  0.750  0.500
Ho  0.750  0.250  0.500
Tm  0.000  0.000  0.000
Tm  0.070  0.570  0.916
Tm  0.154  0.070  0.500
Tm  0.346  0.846  0.916
Tm  0.430  0.346  0.500
Tm  0.500  0.500  0.000
Tm  0.570  0.654  0.500
Tm  0.654  0.154  0.084
Tm  0.846  0.930  0.500
Tm  0.930  0.430  0.084
Th  0.118  0.382  0.500
Th  0.382  0.882  0.263
Th  0.618  0.118  0.737
Th  0.882  0.618  0.500

Results
Space-group type: No. 140
Formation energy: 0.34 eV/atom
Total magnetic moment: 0.00 μB per cell